Material: BaBe3Cl
Method: DFT, PBE
State: optimized geometry

Calculated values
size of the total moment: 0.475 μB/cell
energy relative to the lowest polymorph listed for this composition: 636 meV per atom
E_form (uncorrected): 1770 meV/atom
density of states at the Fermi level: 1.255 states/eV per atom

a b c (Å): 6.380 6.380 6.380
angles (deg): 90.00 90.00 90.00
Each line ends with the local moment (μB).
Fractional positions:
1 Ba 0.000 0.000 0.000  0.10
2 Be 0.500 0.000 0.000  0.07
3 Be 0.000 0.000 0.500  0.00
4 Be 0.000 0.500 0.000  0.01
5 Cl 0.500 0.500 0.500  -0.01


Material: BaBeCl2
Method: DFT, PBE
State: optimized geometry

Calculated values
size of the total moment: 0.034 μB/cell
energy relative to the lowest polymorph listed for this composition: 372 meV per atom
E_form (uncorrected): -725 meV/atom
density of states at the Fermi level: 0.313 states/eV per atom

a b c (Å): 8.790 8.790 8.790
angles (deg): 26.64 26.64 26.64
Each line ends with the local moment (μB).
Fractional positions:
1 Ba 0.500 0.500 0.500  -0.19
2 Cl 0.922 0.922 0.922  0.02
3 Cl 0.078 0.078 0.078  0.02
4 Be 0.000 0.000 0.000  0.10


Material: BaBeCl2
Method: DFT, PBE
State: optimized geometry

Calculated values
size of the total moment: 0.000 μB/cell
energy relative to the lowest polymorph listed for this composition: 200 meV per atom
E_form (uncorrected): -896 meV/atom
density of states at the Fermi level: 0.008 states/eV per atom

a b c (Å): 5.044 5.044 4.216
angles (deg): 90.00 90.00 90.05
Fractional positions:
1 Cl 0.000 0.000 0.000
2 Cl 0.500 0.500 0.000
3 Ba 0.500 0.000 0.500
4 Be 0.000 0.500 0.500


Material: BaBe2Cl
Method: DFT, PBE
State: optimized geometry

Calculated values
size of the total moment: 0.000 μB/cell
energy relative to the lowest polymorph listed for this composition: 250 meV per atom
E_form (uncorrected): 74 meV/atom
density of states at the Fermi level: 0.454 states/eV per atom

a b c (Å): 3.479 3.480 6.993
angles (deg): 90.00 90.00 90.00
Fractional positions:
1 Be 0.500 0.500 0.161
2 Be 0.000 0.000 0.125
3 Ba 0.500 0.500 0.761
4 Cl 0.000 0.000 0.453


Material: Ba2BeCl2
Method: DFT, PBE
State: optimized geometry

Calculated values
size of the total moment: 1.860 μB/cell
energy relative to the lowest polymorph listed for this composition: 22 meV per atom
E_form (uncorrected): -909 meV/atom
density of states at the Fermi level: 0.331 states/eV per atom

a b c (Å): 6.130 6.130 6.352
angles (deg): 61.15 61.15 90.00
Each line ends with the local moment (μB).
Fractional positions:
1 Cl 0.681 0.681 0.637  0.01
2 Cl 0.319 0.319 0.363  0.01
3 Ba 0.250 0.750 0.500  0.12
4 Ba 0.750 0.250 0.500  0.12
5 Be 0.000 0.000 0.000  0.17


Material: BaBe2Cl
Method: DFT, PBE
State: optimized geometry

Calculated values
size of the total moment: 0.000 μB/cell
energy relative to the lowest polymorph listed for this composition: 65 meV per atom
E_form (uncorrected): -112 meV/atom
density of states at the Fermi level: 0.659 states/eV per atom

a b c (Å): 4.209 4.209 6.582
angles (deg): 89.87 89.87 59.83
Fractional positions:
1 Ba 0.291 0.291 0.215
2 Be 0.627 0.627 0.858
3 Be 0.960 0.960 0.897
4 Cl 0.623 0.623 0.529


Material: Ba3BeCl
Method: DFT, PBE
State: optimized geometry

Calculated values
size of the total moment: 0.000 μB/cell
energy relative to the lowest polymorph listed for this composition: 0 meV per atom
E_form (uncorrected): -161 meV/atom
density of states at the Fermi level: 1.615 states/eV per atom

a b c (Å): 6.010 6.010 6.010
angles (deg): 90.00 90.00 90.00
Fractional positions:
1 Be 0.500 0.500 0.500
2 Ba 0.000 0.500 0.000
3 Ba 0.000 0.000 0.500
4 Ba 0.500 0.000 0.000
5 Cl 0.000 0.000 0.000


Material: BaBe2Cl
Method: DFT, PBE
State: optimized geometry

Calculated values
size of the total moment: 0.006 μB/cell
energy relative to the lowest polymorph listed for this composition: 726 meV per atom
E_form (uncorrected): 550 meV/atom
density of states at the Fermi level: 0.822 states/eV per atom

a b c (Å): 6.032 6.032 6.032
angles (deg): 44.55 44.55 44.55
Fractional positions:
1 Be 0.548 0.548 0.548
2 Be 0.952 0.952 0.952
3 Ba 0.750 0.750 0.750
4 Cl 0.250 0.250 0.250


Material: BaBeCl2
Method: DFT, PBE
State: optimized geometry

Calculated values
size of the total moment: 0.000 μB/cell
energy relative to the lowest polymorph listed for this composition: 167 meV per atom
E_form (uncorrected): -930 meV/atom
density of states at the Fermi level: 0.000 states/eV per atom

a b c (Å): 9.123 9.123 9.123
angles (deg): 30.62 30.62 30.62
Fractional positions:
1 Cl 0.530 0.530 0.530
2 Cl 0.970 0.970 0.970
3 Be 0.750 0.750 0.750
4 Ba 0.250 0.250 0.250


Material: BaBeCl4
Method: DFT, PBE
State: optimized geometry

Calculated values
size of the total moment: 0.000 μB/cell
energy relative to the lowest polymorph listed for this composition: 0 meV per atom
E_form (uncorrected): -1997 meV/atom
density of states at the Fermi level: 0.000 states/eV per atom

a b c (Å): 6.092 6.137 9.560
angles (deg): 90.00 90.00 99.00
Fractional positions:
1 Cl 0.835 0.168 0.750
2 Cl 0.286 0.312 0.079
3 Cl 0.286 0.312 0.421
4 Cl 0.165 0.832 0.250
5 Cl 0.714 0.688 0.579
6 Cl 0.195 0.824 0.750
7 Cl 0.805 0.176 0.250
8 Cl 0.714 0.688 0.921
9 Ba 0.361 0.346 0.750
10 Ba 0.639 0.654 0.250
11 Be 0.866 0.844 0.750
12 Be 0.134 0.156 0.250


Material: BaBe4Cl
Method: DFT, PBE
State: optimized geometry

Calculated values
size of the total moment: 0.000 μB/cell
E_form (uncorrected): 666 meV/atom
density of states at the Fermi level: 0.448 states/eV per atom

a b c (Å): 5.531 5.531 5.531
angles (deg): 60.00 60.00 60.00
Fractional positions:
1 Be 0.401 0.797 0.401
2 Be 0.401 0.401 0.401
3 Be 0.797 0.401 0.401
4 Be 0.401 0.401 0.797
5 Cl 0.750 0.750 0.750
6 Ba 0.000 0.000 0.000


Material: BaBe2Cl
Method: DFT, PBE
State: optimized geometry

Calculated values
size of the total moment: 0.000 μB/cell
energy relative to the lowest polymorph listed for this composition: 146 meV per atom
E_form (uncorrected): -30 meV/atom
density of states at the Fermi level: 0.322 states/eV per atom

a b c (Å): 5.337 4.430 4.333
angles (deg): 89.99 90.00 90.00
Fractional positions:
1 Cl 0.500 0.250 0.250
2 Be 0.000 0.250 0.495
3 Be 0.000 0.250 0.005
4 Ba 0.500 0.750 0.750


Material: BaBe2Cl
Method: DFT, PBE
State: optimized geometry

Calculated values
size of the total moment: 0.481 μB/cell
energy relative to the lowest polymorph listed for this composition: 503 meV per atom
E_form (uncorrected): 327 meV/atom
density of states at the Fermi level: 1.023 states/eV per atom

a b c (Å): 5.125 5.125 5.125
angles (deg): 119.88 119.88 90.21
Each line ends with the local moment (μB).
Fractional positions:
1 Be 0.000 0.000 0.000  0.06
2 Be 0.250 0.750 0.500  0.04
3 Cl 0.500 0.500 0.000  0.01
4 Ba 0.750 0.250 0.500  0.04


Material: BaBe2Cl
Method: DFT, PBE
State: optimized geometry

Calculated values
size of the total moment: 0.000 μB/cell
energy relative to the lowest polymorph listed for this composition: 401 meV per atom
E_form (uncorrected): 225 meV/atom
density of states at the Fermi level: 0.532 states/eV per atom

a b c (Å): 4.196 4.196 5.881
angles (deg): 90.00 90.00 90.05
Fractional positions:
1 Be 0.000 0.000 0.000
2 Be 0.500 0.500 0.000
3 Cl 0.500 0.000 0.500
4 Ba 0.000 0.500 0.500